The following is a DFT calculation (GGA+U) of a geometry-optimized BeWF3 structure.

```
BeWF3
1.0
-3.8552 0.6071 1.5554
-1.6634 -1.0578 -3.7100
-0.1445 -4.0203 1.2111
Be W F
1 1 3
direct
0.5000 0.5000 0.5000
0.0000 0.0000 0.0000
0.0000 0.5000 0.0000
0.0000 0.0000 0.5000
0.5000 0.0000 0.0000
```

Summary:
Its space group is Pm-3m. Its energy is -22.65 eV per cell. The crystal system is cubic. For the theoretical density, the calculation gives 5.6 g/cm3.